[1]
La8Si3NiBr4 | PBE | optimized geometry

E_form (uncorrected) in eV/atom: -1.052
DOS(E_F) in states/eV/f.u.: 12.84
Volume in Å³/f.u.: 482.1
M_tot in μB per formula unit: 0.01
Energy in eV/atom: -5.312

Cell lengths 8.695, 8.908, 8.700 Å; angles 119.23, 119.98, 90.00 degrees
Sites, in units of the cell vectors:
La 0.234 0.713 0.979
La 0.235 0.714 0.470
La 0.260 0.280 0.520
La 0.745 0.713 0.979
La 0.255 0.287 0.021
La 0.740 0.720 0.480
La 0.765 0.286 0.530
La 0.766 0.287 0.021
Si 0.500 0.500 0.000
Si 0.500 0.500 0.500
Si 0.000 0.500 0.500
Ni 0.000 0.500 0.000
Br 0.500 0.000 0.000
Br 0.500 0.000 0.500
Br 0.000 0.000 0.000
Br 0.000 0.000 0.500

[2]
Ho4NiTe | PBE | optimized geometry

E_form (uncorrected) in eV/atom: -0.591
DOS(E_F) in states/eV/f.u.: 6.13
Volume in Å³/f.u.: 153.8
M_tot in μB per formula unit: 0.00
Energy above the most stable polymorph in this dataset in eV per atom: 0.000
Energy in eV/atom: -5.130

Cell lengths 3.840, 8.254, 19.406 Å; angles 90.00, 90.00, 90.00 degrees
Sites, in units of the cell vectors:
Ho 0.750 0.866 0.649
Ho 0.250 0.134 0.351
Ho 0.250 0.634 0.149
Ho 0.750 0.366 0.851
Ho 0.750 0.853 0.452
Ho 0.250 0.147 0.548
Ho 0.250 0.647 0.952
Ho 0.750 0.353 0.048
Ho 0.750 0.024 0.932
Ho 0.250 0.976 0.068
Ho 0.250 0.476 0.432
Ho 0.750 0.524 0.568
Ho 0.750 0.954 0.217
Ho 0.250 0.046 0.783
Ho 0.250 0.546 0.717
Ho 0.750 0.454 0.283
Ni 0.750 0.226 0.448
Ni 0.250 0.774 0.552
Ni 0.250 0.274 0.948
Ni 0.750 0.726 0.052
Te 0.750 0.747 0.815
Te 0.250 0.253 0.185
Te 0.250 0.753 0.315
Te 0.750 0.247 0.685

[3]
Hf5Zr2 | PBE | optimized geometry

DOS(E_F) in states/eV/f.u.: 9.71
Volume in Å³/f.u.: 166.5
M_tot in μB per formula unit: 0.00
Energy above the most stable polymorph in this dataset in eV per atom: 0.202
Energy in eV/atom: -9.241

Cell lengths 3.143, 7.403, 7.493 Å; angles 85.76, 77.89, 77.74 degrees
Sites, in units of the cell vectors:
Hf 0.365 0.365 0.906
Hf 0.635 0.635 0.094
Hf 0.000 0.000 0.000
Hf 0.839 0.657 0.666
Hf 0.161 0.343 0.334
Zr 0.633 0.097 0.637
Zr 0.367 0.903 0.363

[4]
Hf6TcSn2 | PBE | optimized geometry

DOS(E_F) in states/eV/f.u.: 7.78
Volume in Å³/f.u.: 233.6
M_tot in μB per formula unit: 0.00
Energy in eV/atom: -8.136

Cell lengths 7.167, 7.167, 9.096 Å; angles 90.00, 90.00, 90.00 degrees
Sites, in units of the cell vectors:
Hf 0.273 0.273 0.340
Hf 0.727 0.727 0.340
Hf 0.227 0.773 0.840
Hf 0.773 0.227 0.840
Hf 0.227 0.773 0.160
Hf 0.773 0.227 0.160
Hf 0.273 0.273 0.660
Hf 0.727 0.727 0.660
Hf 0.254 0.254 0.000
Hf 0.746 0.746 0.000
Hf 0.246 0.754 0.500
Hf 0.754 0.246 0.500
Tc 0.000 0.000 0.000
Tc 0.500 0.500 0.500
Sn 0.000 0.000 0.330
Sn 0.500 0.500 0.830
Sn 0.500 0.500 0.170
Sn 0.000 0.000 0.670

[5]
AgHRu2Cl | PBE | optimized geometry

DOS(E_F) in states/eV/f.u.: 5.47
Volume in Å³/f.u.: 87.3
M_tot in μB per formula unit: 5.05
Energy in eV/atom: -3.873

Cell lengths 5.253, 3.165, 5.253 Å; angles 90.00, 90.00, 90.00 degrees
Sites, in units of the cell vectors:
Ru 0.000 0.000 0.500
Ru 0.500 0.000 0.000
H 0.000 0.500 0.000
Ag 0.000 0.000 0.000
Cl 0.500 0.500 0.500

[6]
KPdPt | PBE | optimized geometry

DOS(E_F) in states/eV/f.u.: 3.88
Volume in Å³/f.u.: 80.0
M_tot in μB per formula unit: 0.08
Energy above the most stable polymorph in this dataset in eV per atom: 0.152
Energy in eV/atom: -4.079

Cell lengths 16.370, 14.757, 4.454 Å; angles 89.97, 57.02, 135.23 degrees
Sites, in units of the cell vectors:
Pd 0.743 0.250 0.763
Pd 0.257 0.750 0.237
Pd 0.280 0.337 0.690
Pd 0.629 0.691 0.993
Pd 0.720 0.663 0.310
Pd 0.371 0.309 0.007
K 0.495 0.797 0.256
K 0.505 0.203 0.744
K 0.074 0.367 0.102
K 0.919 0.030 0.912
K 0.926 0.633 0.898
K 0.081 0.970 0.088
Pt 0.412 0.526 0.926
Pt 0.588 0.474 0.074
Pt 0.074 0.589 0.102
Pt 0.399 0.924 0.453
Pt 0.926 0.411 0.898
Pt 0.601 0.076 0.547